1.
An optimized crystal structure of Ag2Mo3O9, computed with PBE+U.

Cell and atoms, written as CIF:
```
data_Ag2Mo3O9
_chemical_formula_sum 'Ag8 Mo12 O36'
_symmetry_space_group_name_H-M 'C 1 2/m 1'
_symmetry_Int_Tables_number 12
_symmetry_space_group_name_Hall '-C 2y'
_cell_length_a 9.675
_cell_length_b 12.530
_cell_length_c 8.328
_cell_angle_alpha 90.00
_cell_angle_beta 118.57
_cell_angle_gamma 90.00
loop_
_atom_site_label
_atom_site_type_symbol
_atom_site_fract_x
_atom_site_fract_y
_atom_site_fract_z
Ag1 Ag 0.223 0.120 0.316
Mo1 Mo 0.045 0.358 0.234
Mo2 Mo 0.214 0.000 0.903
O1 O 0.000 0.293 0.000
O2 O 0.011 0.000 0.823
O3 O 0.075 0.500 0.357
O4 O 0.083 0.253 0.389
O5 O 0.187 0.396 0.890
O6 O 0.248 0.397 0.233
```

Values from the calculation:
As for the density of states at the Fermi level: 7.98 states/eV per cell. As for the density: 4.9 g/cm3. The size of the total moment is 0.14 μB/atom.


2.
An optimized crystal structure of AgMoP2O8, computed with PBE+U.

Cell and atoms, written as CIF:
```
data_AgMoP2O8
_chemical_formula_sum 'Ag3 Mo3 P6 O24'
_symmetry_space_group_name_H-M 'R -3 m'
_symmetry_Int_Tables_number 166
_symmetry_space_group_name_Hall '-R 3 2"'
_cell_length_a 5.2059
_cell_length_b 5.2059
_cell_length_c 23.5643
_cell_angle_alpha 90.00
_cell_angle_beta 90.00
_cell_angle_gamma 120.00
loop_
_atom_site_label
_atom_site_type_symbol
_atom_site_fract_x
_atom_site_fract_y
_atom_site_fract_z
Ag1 Ag 0.0000 0.0000 0.0000
Mo1 Mo 0.0000 0.0000 0.5000
P1 P 0.0000 0.0000 0.2422
O1 O 0.0000 0.0000 0.3059
O2 O 0.0157 0.5078 0.8834
```

Values from the calculation:
As for the density of states at the Fermi level: 6.55 states/eV per cell. As for the density: 3.5 g/cm3. The size of the total moment is 0.08 μB/atom.


The evaluated E_tot for the records listed, in turn: -6.232; -6.685 eV per atom.